VASP calculation (GGA-PBE) on a relaxed Na3Ni2MoSe6 crystal.

Computed properties:
Calculated volume, Å³/atom: 20.74
Formation energy (no corrections), meV/atom: -518
Total DFT energy (no corrections), eV/atom: -4.46
M_tot, μB/f.u.: 0.98

abc: 6.5388 11.3159 7.0738
angles: 90.00 107.98 90.00
With the nearest neighbours (Å) after each atom.
Space group C2/m (No. 12)
Inequivalent atoms, fractional coordinates:
Na 0.0000 0.0000 0.0000 (multiplicity 2)  6 Se 2.95-3.04
Na 0.0000 0.3363 0.0000 (multiplicity 4)  6 Se 2.97-3.05
Ni 0.0000 0.1669 0.5000 (multiplicity 4)  6 Se 2.49-2.50
Mo 0.0000 0.5000 0.5000 (multiplicity 2)  6 Se 2.60
Se 0.2174 0.0000 0.6911 (multiplicity 4)  2 Ni 2.50, 1 Mo 2.60
Se 0.2369 0.3267 0.6910 (multiplicity 8)  2 Ni 2.49-2.50, 1 Mo 2.60